1.
Entry from Alexandria via LeMat-Bulk: a relaxed SrAl2Se crystal (GGA-PBEsol).

## Properties
ρ   3617 kg/m3
Uncorrected energy   -3.76 eV per atom
Space group   No. 122
Raw formation energy   -0.2894 eV per atom

Lattice parameters (Å, degrees): 5.963 6.546 6.546 78.03 62.90 62.90
Fractional positions:
1 Al 0.375 0.452 0.048
2 Sr 0.000 0.000 0.000
3 Al 0.577 0.048 0.548
4 Al 0.173 0.952 0.452
5 Se 0.500 0.000 0.000
6 Sr 0.750 0.500 0.500
7 Se 0.250 0.500 0.500
8 Al 0.875 0.548 0.952

***

2.
Entry from Alexandria via LeMat-Bulk: a relaxed SrZr2AlSe crystal (GGA-PBEsol).

## Properties
ρ   4514 kg/m3
Uncorrected energy   -5.11 eV per atom
Space group   No. 123
Raw formation energy   0.4839 eV per atom

Lattice parameters (Å, degrees): 5.132 5.132 5.252 90.00 90.00 90.00
Site moments in Bohr magnetons follow the coordinates.
Fractional positions:
1 Se 0.000 0.000 0.500  -0.03
2 Sr 0.500 0.500 0.500  0.12
3 Al 0.000 0.000 0.000  0.01
4 Zr 0.000 0.500 0.000  0.53
5 Zr 0.500 0.000 0.000  0.53

***

3.
Entry from Alexandria via LeMat-Bulk: a relaxed TaAlSe2 crystal (GGA-PBEsol).

## Properties
ρ   9105 kg/m3
Uncorrected energy   -6.14 eV per atom
Space group   No. 123
Raw formation energy   -0.0566 eV per atom

Lattice parameters (Å, degrees): 3.183 4.579 4.579 90.00 90.05 90.05
Fractional positions:
1 Ta 0.500 0.000 0.000
2 Se 0.000 0.000 0.500
3 Al 0.500 0.500 0.500
4 Se 0.000 0.500 0.000

***

no.,N(E_F) (states/eV/f.u.)
1,2.49
2,4.58
3,2.00